(1)
Entry from Alexandria via LeMat-Bulk: crystalline ZnOsPb2 at its relaxed geometry (PBE). Values from VASP.

Geometry as Quantum ESPRESSO input:
```
&SYSTEM
  ibrav = 0, nat = 4, ntyp = 3
/
ATOMIC_SPECIES
Zn 65.41 Zn.upf
Pb 207.20 Pb.upf
Os 190.23 Os.upf
CELL_PARAMETERS angstrom
-2.6221 1.9348 0.5431
-2.0075 -2.4965 -0.8069
-0.1566 -2.4442 7.9514
ATOMIC_POSITIONS crystal
Zn 0.0000 0.0000 0.5625
Pb 0.0000 0.0000 0.9235
Pb 0.5000 0.5000 0.3158
Os 0.5000 0.5000 0.6982
```

---

(2)
! Co3SiH | Alexandria via LeMat-Bulk | PBE | optimized geometry; values from VASP
! polymorph energy (0 for the lowest one): 0.268 eV per atom
&SYSTEM
  ibrav = 0, nat = 20, ntyp = 3
/
ATOMIC_SPECIES
Si 28.09 Si.upf
Co 58.93 Co.upf
H 1.01 H.upf
CELL_PARAMETERS angstrom
-2.8652 2.5136 -2.4210
2.1669 -2.8799 -5.5546
-4.5800 -4.6297 0.6136
ATOMIC_POSITIONS crystal
Si 0.0000 0.0000 0.5000
Si 0.5000 0.0000 0.0000
Si 0.5000 0.5000 0.0000
Si 0.0000 0.5000 0.5000
Co 0.5390 0.9235 0.6599
Co 0.7534 0.2500 0.8208
Co 0.7466 0.7500 0.3208
Co 0.9610 0.4235 0.1599
Co 0.4610 0.0765 0.3401
Co 0.9610 0.0765 0.1599
Co 0.2534 0.2500 0.6792
Co 0.2466 0.7500 0.1792
Co 0.0390 0.5765 0.8401
Co 0.5390 0.5765 0.6599
Co 0.0390 0.9235 0.8401
Co 0.4610 0.4235 0.3401
H 0.0630 0.2500 0.9466
H 0.9370 0.7500 0.0534
H 0.5630 0.2500 0.5534
H 0.4370 0.7500 0.4466

---

(3)
Entry from Alexandria via LeMat-Bulk: crystalline HfTaCuIr at its relaxed geometry (PBE). Values from VASP.

Geometry as Quantum ESPRESSO input:
```
&SYSTEM
  ibrav = 0, nat = 4, ntyp = 4
/
ATOMIC_SPECIES
Cu 63.55 Cu.upf
Ir 192.22 Ir.upf
Hf 178.49 Hf.upf
Ta 180.95 Ta.upf
CELL_PARAMETERS angstrom
4.5538 0.0000 0.0000
2.2769 3.9437 0.0000
2.2769 1.3146 3.7181
ATOMIC_POSITIONS crystal
Cu 0.2500 0.2500 0.2500
Ir 0.7500 0.7500 0.7500
Hf 0.0000 0.0000 0.0000
Ta 0.5000 0.5000 0.5000
```

---

(4)
! HfInBN2 | Alexandria via LeMat-Bulk | PBE | optimized geometry; values from VASP
! E_form (uncorrected): 1.458 eV per atom
&SYSTEM
  ibrav = 0, nat = 5, ntyp = 4
/
ATOMIC_SPECIES
N 14.01 N.upf
B 10.81 B.upf
In 114.82 In.upf
Hf 178.49 Hf.upf
CELL_PARAMETERS angstrom
3.8940 0.0000 0.0000
0.0000 4.4080 0.0000
0.0000 0.0000 3.8940
ATOMIC_POSITIONS crystal
N 0.5000 0.0000 0.0000
N 0.0000 0.0000 0.5000
B 0.0000 0.0000 0.0000
In 0.5000 0.5000 0.5000
Hf 0.0000 0.5000 0.0000

---

(5)
Entry from Alexandria via LeMat-Bulk: crystalline K2H6Au at its relaxed geometry (PBE). Values from VASP.

Geometry as Quantum ESPRESSO input:
```
&SYSTEM
  ibrav = 0, nat = 18, ntyp = 3
/
ATOMIC_SPECIES
H 1.01 H.upf
K 39.10 K.upf
Au 196.97 Au.upf
CELL_PARAMETERS angstrom
-5.1109 0.4068 0.7344
0.5727 -1.6239 4.8847
1.2983 10.3660 3.2939
ATOMIC_POSITIONS crystal
H 0.3372 0.3372 0.1142
H 0.6628 0.6628 0.8858
H 0.2251 0.2251 0.5000
H 0.3372 0.3372 0.8858
H 0.6628 0.6628 0.1142
H 0.1628 0.8372 0.6142
H 0.7251 0.2749 0.0000
H 0.8372 0.1628 0.3858
H 0.2749 0.7251 0.0000
H 0.8372 0.1628 0.6142
H 0.1628 0.8372 0.3858
H 0.7749 0.7749 0.5000
K 0.0000 0.0000 0.8333
K 0.5000 0.5000 0.6667
K 0.5000 0.5000 0.3333
K 0.0000 0.0000 0.1667
Au 0.0000 0.0000 0.5000
Au 0.5000 0.5000 0.0000
```

---

(6)
Entry from Alexandria via LeMat-Bulk: crystalline Sr2CuAs at its relaxed geometry (PBE). Values from VASP.

Geometry as Quantum ESPRESSO input:
```
&SYSTEM
  ibrav = 0, nat = 4, ntyp = 3
/
ATOMIC_SPECIES
Sr 87.62 Sr.upf
Cu 63.55 Cu.upf
As 74.92 As.upf
CELL_PARAMETERS angstrom
3.7641 0.0000 0.0000
0.0000 3.8850 0.0000
0.0000 0.0000 7.6024
ATOMIC_POSITIONS crystal
Sr 0.0000 0.0000 0.4859
Sr 0.0000 0.0000 0.0141
Cu 0.5000 0.5000 0.7500
As 0.5000 0.5000 0.2500
```

---

Number 1: N(E_F) 4.652 states/eV/cell, energy -18.16 eV for the cell shown. Number 2: N(E_F) 18.629 states/eV/cell, energy -120.64 eV for the cell shown. Number 3: N(E_F) 3.949 states/eV/cell, energy -35.98 eV for the cell shown. Number 4: N(E_F) 2.550 states/eV/cell, energy -28.73 eV for the cell shown. Number 5: N(E_F) 7.155 states/eV/cell, energy -50.24 eV for the cell shown. Number 6: N(E_F) 1.482 states/eV/cell, energy -14.07 eV for the cell shown.